P:
A plane-wave DFT calculation with GGA-PBE was carried out for an optimized crystal structure of TlOs2Pb.

Cell lengths 3.1132, 3.1132, 9.1167 Å; angles 90.00, 90.00, 118.97 degrees
Atoms (fractional coordinates):
Tl  0.0000  0.0000  0.0000
Os  0.5000  0.5000  0.2526
Os  0.5000  0.5000  0.7474
Pb  0.0000  0.0000  0.5000

Output
Space group = Cmmm, No. 65
Crystal system = orthorhombic

=====

Q:
A plane-wave DFT calculation with GGA-PBE was carried out for an optimized crystal structure of TlOs2Pb.

Cell lengths 3.1650, 4.5585, 5.3407 Å; angles 90.00, 90.00, 90.00 degrees
Atoms (fractional coordinates):
Tl  0.0000  0.0000  0.0000
Os  0.0000  0.5000  0.5000
Os  0.5000  0.5000  0.0000
Pb  0.5000  0.0000  0.5000

Output
Space group = Pmmm, No. 47
Crystal system = orthorhombic

=====

R:
A plane-wave DFT calculation with GGA-PBE was carried out for an optimized crystal structure of TlOs2Pb.

Cell lengths 4.7816, 4.7816, 4.7816 Å; angles 60.00, 60.00, 60.00 degrees
Atoms (fractional coordinates):
Tl  0.0000  0.0000  0.0000
Os  0.5000  0.5000  0.5000
Os  0.7500  0.7500  0.7500
Pb  0.2500  0.2500  0.2500

Output
Space group = F-43m, No. 216
Crystal system = cubic

=====

S:
A plane-wave DFT calculation with GGA-PBE was carried out for an optimized crystal structure of TlOs2Pb.

Cell lengths 4.7082, 4.7082, 4.7082 Å; angles 60.00, 60.00, 60.00 degrees
Atoms (fractional coordinates):
Tl  0.0000  0.0000  0.0000
Os  0.2500  0.2500  0.2500
Os  0.7500  0.7500  0.7500
Pb  0.5000  0.5000  0.5000

Output
Space group = Fm-3m, No. 225
Crystal system = cubic

=====

S has the most favorable energy; the next structure is 0.105 eV/atom above.

=====

P:
A plane-wave DFT calculation with GGA-PBE was carried out for an optimized crystal structure of TlOs2Pb.

Cell lengths 4.6967, 4.6967, 3.3440 Å; angles 90.00, 90.00, 90.00 degrees
Atoms (fractional coordinates):
Tl  0.0000  0.0000  0.0000
Os  0.0000  0.5000  0.5000
Os  0.5000  0.0000  0.5000
Pb  0.5000  0.5000  0.0000

Output
Space group = P4/mmm, No. 123
Crystal system = tetragonal

=====

Q:
A plane-wave DFT calculation with GGA-PBE was carried out for an optimized crystal structure of TlOs2Pb.

Cell lengths 2.9717, 2.9717, 9.7761 Å; angles 90.00, 90.00, 90.00 degrees
Atoms (fractional coordinates):
Tl  0.0000  0.0000  0.0000
Os  0.0000  0.0000  0.3982
Os  0.5000  0.5000  0.2419
Pb  0.5000  0.5000  0.6342

Output
Space group = P4mm, No. 99
Crystal system = tetragonal

=====

R:
A plane-wave DFT calculation with GGA-PBE was carried out for an optimized crystal structure of TlOs2Pb.

Cell lengths 5.2620, 5.2620, 5.2620 Å; angles 133.39, 133.39, 68.05 degrees
Atoms (fractional coordinates):
Tl  0.0000  0.0000  0.0000
Os  0.2500  0.7500  0.5000
Os  0.5000  0.5000  0.0000
Pb  0.7500  0.2500  0.5000

Output
Space group = I-4m2, No. 119
Crystal system = tetragonal

=====

S:
A plane-wave DFT calculation with GGA-PBE was carried out for an optimized crystal structure of TlOs2Pb.

Cell lengths 6.1202, 6.1202, 6.1202 Å; angles 101.85, 101.85, 126.10 degrees
Atoms (fractional coordinates):
Tl  0.0000  0.0000  0.0000
Tl  0.7500  0.2500  0.5000
Os  0.1271  0.1250  0.5021
Os  0.3750  0.8729  0.9979
Os  0.6229  0.6250  0.4979
Os  0.8750  0.3771  0.0021
Pb  0.2500  0.7500  0.5000
Pb  0.5000  0.5000  0.0000

Output
Space group = I-42d, No. 122
Crystal system = tetragonal

=====

Q has the most favorable energy; the next structure is 0.617 eV/atom above.

=====

P:
A plane-wave DFT calculation with GGA-PBE was carried out for an optimized crystal structure of TlOs2Pb.

Cell lengths 5.5166, 5.5166, 3.1209 Å; angles 105.98, 105.98, 111.36 degrees
Atoms (fractional coordinates):
Tl  0.0000  0.0000  0.0000
Os  0.0000  0.5000  0.5000
Os  0.5000  0.0000  0.5000
Pb  0.5000  0.5000  0.0000

Output
Space group = C2/m, No. 12
Crystal system = monoclinic

=====

Q:
A plane-wave DFT calculation with GGA-PBE was carried out for an optimized crystal structure of TlOs2Pb.

Cell lengths 4.3035, 4.3035, 7.8840 Å; angles 96.12, 96.12, 40.68 degrees
Atoms (fractional coordinates):
Tl  0.0000  0.0000  0.0000
Os  0.2683  0.2683  0.7321
Os  0.5270  0.5270  0.6183
Pb  0.7923  0.7923  0.3664

Output
Space group = Cm, No. 8
Crystal system = monoclinic

=====

Q has the most favorable energy; the next structure is 0.557 eV/atom above.

=====

P:
A plane-wave DFT calculation with GGA-PBE was carried out for an optimized crystal structure of TlOsPb.

Cell lengths 7.3527, 7.3527, 7.3527 Å; angles 154.92, 154.92, 35.77 degrees
Atoms (fractional coordinates):
Tl  0.0000  0.0000  0.0000
Os  0.6358  0.6358  0.0000
Pb  0.2689  0.2689  0.0000

Output
Space group = I4mm, No. 107
Crystal system = tetragonal

=====

Q:
A plane-wave DFT calculation with GGA-PBE was carried out for an optimized crystal structure of TlOsPb.

Cell lengths 5.0040, 5.0040, 3.1088 Å; angles 90.00, 90.00, 120.00 degrees
Atoms (fractional coordinates):
Tl  0.0000  0.0000  0.0000
Os  0.6667  0.3333  0.0039
Pb  0.3333  0.6667  0.4999

Output
Space group = P3m1, No. 156
Crystal system = trigonal

=====

P has the most favorable energy; the next structure is 0.257 eV/atom above.

=====

P:
A plane-wave DFT calculation with GGA-PBE was carried out for an optimized crystal structure of TlOsPb.

Cell lengths 8.3778, 8.1669, 3.1300 Å; angles 82.91, 75.33, 21.76 degrees
Atoms (fractional coordinates):
Tl  0.0000  0.0000  0.0000
Os  0.3567  0.3567  0.6433
Pb  0.7234  0.7234  0.2766

Output
Space group = Fmm2, No. 42
Crystal system = orthorhombic

=====

Q:
A plane-wave DFT calculation with GGA-PBE was carried out for an optimized crystal structure of TlOsPb.

Cell lengths 3.2367, 3.2367, 7.7212 Å; angles 90.00, 90.00, 120.00 degrees
Atoms (fractional coordinates):
Tl  0.0000  0.0000  0.0000
Os  0.6667  0.3333  0.2911
Pb  0.3333  0.6667  0.5690

Output
Space group = P3m1, No. 156
Crystal system = trigonal

=====

Q has the most favorable energy; the next structure is 0.083 eV/atom above.

=====

P:
A plane-wave DFT calculation with GGA-PBE was carried out for an optimized crystal structure of Tm3OsPb.

Cell lengths 7.1996, 7.1996, 9.2938 Å; angles 121.34, 121.34, 40.69 degrees
Atoms (fractional coordinates):
Tm  0.0895  0.0895  0.4106
Tm  0.3345  0.3345  0.7753
Tm  0.4043  0.4043  0.2651
Tm  0.5957  0.5957  0.7349
Tm  0.6655  0.6655  0.2247
Tm  0.9105  0.9105  0.5894
Os  0.3100  0.3100  0.4549
Os  0.6900  0.6900  0.5451
Pb  0.1175  0.1175  0.9816
Pb  0.8825  0.8825  0.0184

Output
Space group = C2/m, No. 12
Crystal system = monoclinic

=====

Q:
A plane-wave DFT calculation with GGA-PBE was carried out for an optimized crystal structure of Tm3OsPb.

Cell lengths 9.5902, 8.9057, 5.8049 Å; angles 78.26, 65.40, 36.34 degrees
Atoms (fractional coordinates):
Tm  0.1938  0.5689  0.4311
Tm  0.2019  0.2019  0.7981
Tm  0.4311  0.8062  0.1938
Tm  0.5689  0.1938  0.8062
Tm  0.7981  0.7981  0.2019
Tm  0.8062  0.4311  0.5689
Os  0.2500  0.2500  0.2500
Os  0.7500  0.7500  0.7500
Pb  0.2233  0.7767  0.7767
Pb  0.7767  0.2233  0.2233

Output
Space group = Fmmm, No. 69
Crystal system = orthorhombic

=====

Q has the most favorable energy; the next structure is 0.070 eV/atom above.

=====

P:
A plane-wave DFT calculation with GGA-PBE was carried out for an optimized crystal structure of Y4OsPb.

Cell lengths 8.1420, 8.1420, 6.1724 Å; angles 102.84, 102.84, 112.94 degrees
Atoms (fractional coordinates):
Y  0.0570  0.7225  0.9346
Y  0.2076  0.3467  0.6577
Y  0.2775  0.9430  0.5654
Y  0.3467  0.2076  0.1577
Y  0.6533  0.7924  0.8423
Y  0.7225  0.0570  0.4346
Y  0.7924  0.6533  0.3423
Y  0.9430  0.2775  0.0654
Os  0.0003  0.9997  0.2500
Os  0.9997  0.0003  0.7500
Pb  0.3698  0.6302  0.2500
Pb  0.6302  0.3698  0.7500

Output
Space group = C2/c, No. 15
Crystal system = monoclinic

=====

Q:
A plane-wave DFT calculation with GGA-PBE was carried out for an optimized crystal structure of Y4OsPb.

Cell lengths 6.0474, 6.0474, 6.0474 Å; angles 60.00, 60.00, 60.00 degrees
Atoms (fractional coordinates):
Y  0.1233  0.1233  0.1233
Y  0.1233  0.1233  0.6300
Y  0.1233  0.6300  0.1233
Y  0.6300  0.1233  0.1233
Os  0.7500  0.7500  0.7500
Pb  0.5000  0.5000  0.5000

Output
Space group = F-43m, No. 216
Crystal system = cubic

=====

P has the most favorable energy; the next structure is 1.083 eV/atom above.

=====

P:
A plane-wave DFT calculation with GGA-PBE was carried out for an optimized crystal structure of ZnOsPb.

Cell lengths 3.0981, 3.0981, 6.9347 Å; angles 90.00, 90.00, 120.00 degrees
Atoms (fractional coordinates):
Zn  0.0000  0.0000  0.0000
Os  0.6667  0.3333  0.2736
Pb  0.3333  0.6667  0.6055

Output
Space group = P3m1, No. 156
Crystal system = trigonal

=====

Q:
A plane-wave DFT calculation with GGA-PBE was carried out for an optimized crystal structure of ZnOsPb.

Cell lengths 7.6237, 7.3854, 3.0095 Å; angles 82.92, 74.02, 23.06 degrees
Atoms (fractional coordinates):
Zn  0.0000  0.0000  0.0000
Os  0.3667  0.3667  0.6333
Pb  0.7057  0.7057  0.2943

Output
Space group = Fmm2, No. 42
Crystal system = orthorhombic

=====

R:
A plane-wave DFT calculation with GGA-PBE was carried out for an optimized crystal structure of ZnOsPb.

Cell lengths 5.3113, 5.3113, 5.3113 Å; angles 142.89, 142.89, 53.49 degrees
Atoms (fractional coordinates):
Zn  0.0000  0.0000  0.0000
Os  0.3834  0.3834  0.0000
Pb  0.6991  0.6991  0.0000

Output
Space group = I4mm, No. 107
Crystal system = tetragonal

=====

S:
A plane-wave DFT calculation with GGA-PBE was carried out for an optimized crystal structure of ZnOsPb.

Cell lengths 4.4552, 4.4552, 4.4552 Å; angles 60.00, 60.00, 60.00 degrees
Atoms (fractional coordinates):
Zn  0.0000  0.0000  0.0000
Os  0.7500  0.7500  0.7500
Pb  0.5000  0.5000  0.5000

Output
Space group = F-43m, No. 216
Crystal system = cubic

=====

R has the most favorable energy; the next structure is 0.113 eV/atom above.